ZnGa2NiSn, optimized geometry, DFT PBE; DOS at the Fermi energy = 2.7 states/eV/f.u.; energy = -3.008 eV per atom; M_tot = 0.00 μB/atom; E_form = 0.4139 eV per atom; space-group type = P4/mmm, No. 123; calculated volume = 20.78 Å³/atom
1.0
4.760 0.000 0.000
0.000 4.760 0.000
0.000 0.000 4.586
Zn Ga Ni Sn
1 2 1 1
Direct
0.000 0.000 0.000
0.000 0.500 0.000
0.500 0.000 0.000
0.000 0.000 0.500
0.500 0.500 0.500

Sm2Cu9Ni6, optimized geometry, DFT PBE; DOS at the Fermi energy = 11.3 states/eV/f.u.; energy = -4.780 eV per atom; M_tot = 0.04 μB/atom; E_form = -0.0158 eV per atom; space-group type = P6/mmm, No. 191; calculated volume = 15.05 Å³/atom
1.0
4.937 0.000 0.000
-2.468 4.275 0.000
0.000 0.000 12.122
Sm Cu Ni
2 9 6
Direct
0.000 0.000 0.176
0.000 0.000 0.824
0.000 0.500 0.000
0.000 0.500 0.336
0.000 0.500 0.664
0.500 0.000 0.000
0.500 0.000 0.336
0.500 0.000 0.664
0.500 0.500 0.000
0.500 0.500 0.336
0.500 0.500 0.664
0.333 0.667 0.168
0.333 0.667 0.500
0.333 0.667 0.832
0.667 0.333 0.168
0.667 0.333 0.500
0.667 0.333 0.832

ErPaAl2, optimized geometry, DFT PBE; DOS at the Fermi energy = 5.9 states/eV/f.u.; energy = -5.442 eV per atom; M_tot = 0.00 μB/atom; E_form = -0.0558 eV per atom; space-group type = R-3m, No. 166; calculated volume = 22.87 Å³/atom
1.0
1.609 0.929 10.194
-1.609 0.929 10.194
0.000 -1.858 10.194
Er Pa Al
1 1 2
Direct
0.000 0.000 0.000
0.500 0.500 0.500
0.251 0.251 0.251
0.749 0.749 0.749

Question: Which value of E_form does entry 2 give?
Answer: -0.0158 eV per atom

Question: Among the records above, which one has the highest calculated volume?
Answer: ErPaAl2

Please write out number 2 again, unchanged.
Sm2Cu9Ni6, optimized geometry, DFT PBE; DOS at the Fermi energy = 11.3 states/eV/f.u.; energy = -4.780 eV per atom; M_tot = 0.04 μB/atom; E_form = -0.0158 eV per atom; space-group type = P6/mmm, No. 191; calculated volume = 15.05 Å³/atom
1.0
4.937 0.000 0.000
-2.468 4.275 0.000
0.000 0.000 12.122
Sm Cu Ni
2 9 6
Direct
0.000 0.000 0.176
0.000 0.000 0.824
0.000 0.500 0.000
0.000 0.500 0.336
0.000 0.500 0.664
0.500 0.000 0.000
0.500 0.000 0.336
0.500 0.000 0.664
0.500 0.500 0.000
0.500 0.500 0.336
0.500 0.500 0.664
0.333 0.667 0.168
0.333 0.667 0.500
0.333 0.667 0.832
0.667 0.333 0.168
0.667 0.333 0.500
0.667 0.333 0.832